[1]
Here is CaPa2FeN4 after structural relaxation from Alexandria. Energies are from PBE-GGA.

For the volume, the calculation gives 471.6 Å³/cell. Its total energy is -9.06 eV/atom. The total magnetic moment is 7.980 Bohr magnetons per cell.

The space group is Cmcm (No. 63) and the conventional cell measures 3.5264, 11.6123 and 11.5175 Å, with angles of 90.00, 90.00 and 90.00 degrees. The distinct sites, in fractional coordinates, are Ca at (0.0000, 0.0887, 0.2500), Pa at (0.0000, 0.3684, 0.0607), Fe at (0.0000, 0.1755, 0.7500), N at (0.0000, 0.0000, 0.0000), N at (0.0000, 0.2617, 0.6056) and N at (0.0000, 0.4359, 0.2500).

***

[2]
Here is Ag2BP2 after structural relaxation from Alexandria. Energies are from PBE-GGA.

The energy above the most stable polymorph in this dataset comes out at 1.33 eV/f.u. For the volume, the calculation gives 171.5 Å³/cell. The formation energy from the elements is 5.7 eV per formula unit. Its total energy is -3.50 eV/atom. The total magnetic moment is 0.000 Bohr magnetons per cell.

The space group is P4/mbm (No. 127) and the conventional cell measures 8.0215, 8.0215 and 2.6650 Å, with angles of 90.00, 90.00 and 90.00 degrees. The distinct sites, in fractional coordinates, are Ag at (0.1602, 0.3398, 0.0000), B at (0.0000, 0.0000, 0.0000) and P at (0.1419, 0.6419, 0.5000).

***

[3]
Here is LiMgCdAg after structural relaxation from Alexandria. Energies are from PBE-GGA.

The energy above the most stable polymorph in this dataset comes out at 0.08 eV/f.u. For the volume, the calculation gives 150.5 Å³/cell. The formation energy from the elements is -0.8 eV per formula unit. Its total energy is -2.02 eV/atom. The total magnetic moment is 0.000 Bohr magnetons per cell.

The space group is I-4m2 (No. 119) and the conventional cell measures 4.2908, 4.2908 and 8.1730 Å, with angles of 90.00, 90.00 and 90.00 degrees. The distinct sites, in fractional coordinates, are Li at (0.0000, 0.0000, 0.0000), Mg at (0.0000, 0.0000, 0.5000), Cd at (0.0000, 0.5000, 0.7500) and Ag at (0.0000, 0.5000, 0.2500).

***

[4]
Here is HoTm7Co2 after structural relaxation from Alexandria. Energies are from PBE-GGA.

For the volume, the calculation gives 584.0 Å³/cell. The formation energy from the elements is 0.7 eV per formula unit. Its total energy is -4.94 eV/atom. The total magnetic moment is 0.001 Bohr magnetons per cell.

The space group is Cmmm (No. 65) and the conventional cell measures 8.5878, 13.4694 and 5.0489 Å, with angles of 90.00, 90.00 and 90.00 degrees. The distinct sites, in fractional coordinates, are Ho at (0.0000, 0.0000, 0.0000), Tm at (0.0000, 0.2975, 0.0000), Tm at (0.0000, 0.5000, 0.5000), Tm at (0.1937, 0.1353, 0.5000) and Co at (0.0000, 0.2950, 0.5000).

***

[5]
Here is Pm4GeO2 after structural relaxation from Alexandria. Energies are from PBE-GGA.

For the volume, the calculation gives 612.9 Å³/cell. Its total energy is -6.47 eV/atom. The total magnetic moment is 0.000 Bohr magnetons per cell.

The space group is I4_1/amd (No. 141, origin choice 2) and the conventional cell measures 8.6263, 8.6263 and 8.2370 Å, with angles of 90.00, 90.00 and 90.00 degrees. The distinct sites, in fractional coordinates, are Pm at (0.0000, 0.0704, 0.2142), Ge at (0.0000, 0.2500, 0.8750) and O at (0.0000, 0.0000, 0.5000).

***

[6]
Here is Ac2Pm3Ga2 after structural relaxation from Alexandria. Energies are from PBE-GGA.

For the volume, the calculation gives 459.4 Å³/cell. The formation energy from the elements is -1.9 eV per formula unit. Its total energy is -4.35 eV/atom. The total magnetic moment is 0.001 Bohr magnetons per cell.

The space group is C2/m (No. 12) and the conventional cell measures 12.6447, 4.5109 and 8.7565 Å, with angles of 90.00, 113.10 and 90.00 degrees. The distinct sites, in fractional coordinates, are Ac at (0.1503, 0.0000, 0.3019), Pm at (0.0000, 0.5000, 0.5000), Pm at (0.1305, 0.5000, 0.9431) and Ga at (0.1572, 0.0000, 0.7160).

***

[7]
Here is Pr2DyY after structural relaxation from Alexandria. Energies are from PBE-GGA.

The energy above the most stable polymorph in this dataset comes out at 0.07 eV/f.u. For the volume, the calculation gives 275.6 Å³/cell. The formation energy from the elements is 0.1 eV per formula unit. Its total energy is -5.13 eV/atom. The total magnetic moment is 0.000 Bohr magnetons per cell.

The space group is Pmmn (No. 59, origin choice 2) and the conventional cell measures 5.8603, 7.4031 and 6.3536 Å, with angles of 90.00, 90.00 and 90.00 degrees. The distinct sites, in fractional coordinates, are Pr at (0.2500, 0.0002, 0.1690), Dy at (0.2500, 0.2500, 0.6666) and Y at (0.2500, 0.7500, 0.6636).

***

[8]
Here is Pm8PbC2 after structural relaxation from Alexandria. Energies are from PBE-GGA.

For the volume, the calculation gives 583.6 Å³/cell. The formation energy from the elements is 0.6 eV per formula unit. Its total energy is -5.41 eV/atom. The total magnetic moment is 0.000 Bohr magnetons per cell.

The space group is C2/m (No. 12) and the conventional cell measures 8.6182, 13.4491 and 5.1003 Å, with angles of 90.00, 99.16 and 90.00 degrees. The distinct sites, in fractional coordinates, are Pm at (0.0000, 0.2405, 0.0000), Pm at (0.1092, 0.0000, 0.8011), Pm at (0.2248, 0.3633, 0.5722), Pb at (0.0000, 0.5000, 0.0000) and C at (0.0000, 0.1760, 0.5000).

***

[9]
Here is Sm5Tl2Ir after structural relaxation from Alexandria. Energies are from PBE-GGA.

The energy above the most stable polymorph in this dataset comes out at 2.92 eV/f.u. For the volume, the calculation gives 1190.3 Å³/cell. The formation energy from the elements is -0.7 eV per formula unit. Its total energy is -4.73 eV/atom. The total magnetic moment is 0.000 Bohr magnetons per cell.

The space group is Cmcm (No. 63) and the conventional cell measures 5.6161, 16.7934 and 12.6206 Å, with angles of 90.00, 90.00 and 90.00 degrees. The distinct sites, in fractional coordinates, are Sm at (0.0000, 0.0716, 0.1009), Sm at (0.0000, 0.2962, 0.7500), Sm at (0.0000, 0.2972, 0.0743), Tl at (0.0000, 0.1198, 0.6323) and Ir at (0.0000, 0.1901, 0.2500).

***

[10]
Here is Li2ZrTe after structural relaxation from Alexandria. Energies are from PBE-GGA.

For the volume, the calculation gives 354.9 Å³/cell. Its total energy is -3.96 eV/atom. The total magnetic moment is 0.000 Bohr magnetons per cell.

The space group is I-42d (No. 122) and the conventional cell measures 7.9386, 7.9386 and 5.6320 Å, with angles of 90.00, 90.00 and 90.00 degrees. The distinct sites, in fractional coordinates, are Li at (0.2108, 0.2500, 0.1250), Zr at (0.0000, 0.0000, 0.5000) and Te at (0.0000, 0.0000, 0.0000).

***

[11]
Here is Hf2SnGe2 after structural relaxation from Alexandria. Energies are from PBE-GGA.

The energy above the most stable polymorph in this dataset comes out at 0.24 eV/f.u. For the volume, the calculation gives 208.0 Å³/cell. The formation energy from the elements is -1.3 eV per formula unit. Its total energy is -6.89 eV/atom. The total magnetic moment is 0.000 Bohr magnetons per cell.

The space group is P4/mbm (No. 127) and the conventional cell measures 7.5036, 7.5036 and 3.6947 Å, with angles of 90.00, 90.00 and 90.00 degrees. The distinct sites, in fractional coordinates, are Hf at (0.1477, 0.3523, 0.0000), Sn at (0.0000, 0.0000, 0.0000) and Ge at (0.1536, 0.6536, 0.5000).

***

[12]
Here is Sn2Pd2Au after structural relaxation from Alexandria. Energies are from PBE-GGA.

The energy above the most stable polymorph in this dataset comes out at 0.66 eV/f.u. For the volume, the calculation gives 196.4 Å³/cell. The formation energy from the elements is -1.3 eV per formula unit. Its total energy is -4.59 eV/atom. The total magnetic moment is 0.000 Bohr magnetons per cell.

The space group is P4/mbm (No. 127) and the conventional cell measures 7.5940, 7.5940 and 3.4052 Å, with angles of 90.00, 90.00 and 90.00 degrees. The distinct sites, in fractional coordinates, are Sn at (0.1602, 0.3398, 0.0000), Pd at (0.1347, 0.6347, 0.5000) and Au at (0.0000, 0.0000, 0.0000).

***

Question: What is the total magnetic moment in the eleventh record?
Answer: 0.000 Bohr magnetons per cell

***

Question: Which value of total magnetic moment does entry 6 give?
Answer: 0.001 Bohr magnetons per cell